[1]
# Ti7Sb2Pb2 (PBE, optimized geometry)
data_Ti7Sb2Pb2
_cell_length_a 11.110
_cell_length_b 8.869
_cell_length_c 4.865
_cell_angle_alpha 90.00
_cell_angle_beta 110.82
_cell_angle_gamma 90.00
_space_group_name_H-M_alt 'C 1 2/m 1'
_space_group_IT_number 12
_space_group_name_Hall '-C 2y'
loop_
_atom_site_label
_atom_site_type_symbol
_atom_site_fract_x
_atom_site_fract_y
_atom_site_fract_z
_atom_site_occupancy
Ti1 Ti 0.000 0.000 0.000 1
Ti2 Ti 0.001 0.500 0.262 1
Ti3 Ti 0.211 0.173 0.244 1
Sb1 Sb 0.239 0.500 0.200 1
Pb1 Pb 0.000 0.206 0.500 1
# ΔE_f (raw): 0.05 eV/atom
# Total energy: -6.396 eV/atom

---

[2]
# TiSb2Pb2 (PBE, optimized geometry)
data_TiSb2Pb2
_cell_length_a 7.388
_cell_length_b 7.388
_cell_length_c 5.153
_cell_angle_alpha 90.00
_cell_angle_beta 90.00
_cell_angle_gamma 90.00
_space_group_name_H-M_alt 'P 4/m b m'
_space_group_IT_number 127
_space_group_name_Hall '-P 4 2ab'
loop_
_atom_site_label
_atom_site_type_symbol
_atom_site_fract_x
_atom_site_fract_y
_atom_site_fract_z
_atom_site_occupancy
Ti1 Ti 0.000 0.000 0.000 1
Sb1 Sb 0.156 0.344 0.000 1
Pb1 Pb 0.164 0.664 0.500 1
# ΔE_f (raw): 0.06 eV/atom
# Total energy: -4.653 eV/atom

---

[3]
# TiSbPb3 (PBE, optimized geometry)
data_TiSbPb3
_cell_length_a 5.453
_cell_length_b 5.453
_cell_length_c 5.453
_cell_angle_alpha 90.00
_cell_angle_beta 90.00
_cell_angle_gamma 90.00
_space_group_name_H-M_alt 'P m -3 m'
_space_group_IT_number 221
_space_group_name_Hall '-P 4 2 3'
loop_
_atom_site_label
_atom_site_type_symbol
_atom_site_fract_x
_atom_site_fract_y
_atom_site_fract_z
_atom_site_occupancy
Ti1 Ti 0.000 0.000 0.000 1
Sb1 Sb 0.500 0.500 0.500 1
Pb1 Pb 0.000 0.000 0.500 1
# Distance to the lowest polymorph of the same formula: 0.0000 eV per atom
# ΔE_f (raw): 0.40 eV/atom
# Total energy: -4.228 eV/atom

---

[4]
# TiSbPb2 (PBE, optimized geometry)
data_TiSbPb2
_cell_length_a 6.491
_cell_length_b 6.491
_cell_length_c 14.098
_cell_angle_alpha 90.00
_cell_angle_beta 90.00
_cell_angle_gamma 90.00
_space_group_name_H-M_alt 'I -4 2 d'
_space_group_IT_number 122
_space_group_name_Hall 'I -4 2bw'
loop_
_atom_site_label
_atom_site_type_symbol
_atom_site_fract_x
_atom_site_fract_y
_atom_site_fract_z
_atom_site_occupancy
Ti1 Ti 0.000 0.000 0.000 1
Sb1 Sb 0.000 0.000 0.500 1
Pb1 Pb 0.218 0.250 0.125 1
# ΔE_f (raw): 0.60 eV/atom
# Total energy: -4.263 eV/atom

---

[5]
# Ti2Sb2Pb (PBE, optimized geometry)
data_Ti2Sb2Pb
_cell_length_a 8.227
_cell_length_b 8.227
_cell_length_c 3.489
_cell_angle_alpha 90.00
_cell_angle_beta 90.00
_cell_angle_gamma 90.00
_space_group_name_H-M_alt 'P 4/m b m'
_space_group_IT_number 127
_space_group_name_Hall '-P 4 2ab'
loop_
_atom_site_label
_atom_site_type_symbol
_atom_site_fract_x
_atom_site_fract_y
_atom_site_fract_z
_atom_site_occupancy
Ti1 Ti 0.125 0.375 0.000 1
Sb1 Sb 0.152 0.652 0.500 1
Pb1 Pb 0.000 0.000 0.500 1
# Distance to the lowest polymorph of the same formula: 0.1525 eV per atom
# ΔE_f (raw): -0.07 eV/atom
# Total energy: -5.621 eV/atom

---

[6]
# Ti6SbPb (PBE, optimized geometry)
data_Ti6SbPb
_cell_length_a 4.777
_cell_length_b 6.238
_cell_length_c 9.763
_cell_angle_alpha 90.00
_cell_angle_beta 90.00
_cell_angle_gamma 90.00
_space_group_name_H-M_alt 'A m m 2'
_space_group_IT_number 38
_space_group_name_Hall 'A 2 -2'
loop_
_atom_site_label
_atom_site_type_symbol
_atom_site_fract_x
_atom_site_fract_y
_atom_site_fract_z
_atom_site_occupancy
Ti1 Ti 0.000 0.000 0.000 1
Ti2 Ti 0.000 0.230 0.723 1
Ti3 Ti 0.500 0.000 0.258 1
Ti4 Ti 0.500 0.238 0.540 1
Sb1 Sb 0.500 0.000 0.801 1
Pb1 Pb 0.000 0.000 0.458 1
# ΔE_f (raw): -0.22 eV/atom
# Total energy: -7.121 eV/atom

---

[7]
# Ti2SbPb (PBE, optimized geometry)
data_Ti2SbPb
_cell_length_a 6.908
_cell_length_b 6.908
_cell_length_c 6.908
_cell_angle_alpha 90.00
_cell_angle_beta 90.00
_cell_angle_gamma 90.00
_space_group_name_H-M_alt 'F m -3 m'
_space_group_IT_number 225
_space_group_name_Hall '-F 4 2 3'
loop_
_atom_site_label
_atom_site_type_symbol
_atom_site_fract_x
_atom_site_fract_y
_atom_site_fract_z
_atom_site_occupancy
Ti1 Ti 0.250 0.250 0.250 1
Sb1 Sb 0.000 0.000 0.000 1
Pb1 Pb 0.000 0.000 0.500 1
# Distance to the lowest polymorph of the same formula: 0.0578 eV per atom
# ΔE_f (raw): 0.02 eV/atom
# Total energy: -5.883 eV/atom

---

[8]
# TiZnSbPb2 (PBE, optimized geometry)
data_TiZnSbPb2
_cell_length_a 5.452
_cell_length_b 5.452
_cell_length_c 5.238
_cell_angle_alpha 90.00
_cell_angle_beta 90.00
_cell_angle_gamma 90.00
_space_group_name_H-M_alt 'P 4/m m m'
_space_group_IT_number 123
_space_group_name_Hall '-P 4 2'
loop_
_atom_site_label
_atom_site_type_symbol
_atom_site_fract_x
_atom_site_fract_y
_atom_site_fract_z
_atom_site_occupancy
Ti1 Ti 0.000 0.000 0.000 1
Zn1 Zn 0.500 0.500 0.500 1
Sb1 Sb 0.000 0.000 0.500 1
Pb1 Pb 0.000 0.500 0.000 1
# ΔE_f (raw): 0.26 eV/atom
# Total energy: -3.877 eV/atom

---

Please write out number 2 again, unchanged.
# TiSb2Pb2 (PBE, optimized geometry)
data_TiSb2Pb2
_cell_length_a 7.388
_cell_length_b 7.388
_cell_length_c 5.153
_cell_angle_alpha 90.00
_cell_angle_beta 90.00
_cell_angle_gamma 90.00
_space_group_name_H-M_alt 'P 4/m b m'
_space_group_IT_number 127
_space_group_name_Hall '-P 4 2ab'
loop_
_atom_site_label
_atom_site_type_symbol
_atom_site_fract_x
_atom_site_fract_y
_atom_site_fract_z
_atom_site_occupancy
Ti1 Ti 0.000 0.000 0.000 1
Sb1 Sb 0.156 0.344 0.000 1
Pb1 Pb 0.164 0.664 0.500 1
# ΔE_f (raw): 0.06 eV/atom
# Total energy: -4.653 eV/atom

---

Q: Look up the total energy of the sixth one.
A: -7.121 eV/atom

---

Q: The lowest ΔE_f (raw) belongs to which entry?
A: Ti6SbPb